PrSm2Zn6, relaxed, DFT GGA-PBE; density of states at the Fermi level = 7.72 states/eV per cell; formation energy from the elements = -353 meV/atom; VASP energy = -0.20449 Ry/atom
1.0
7.902 0.000 0.000
-3.951 6.843 0.000
0.000 0.000 3.604
Pr Sm Zn
1 2 6
Direct
0.000 0.000 0.000
0.333 0.667 0.000
0.667 0.333 0.000
0.000 0.336 0.500
0.000 0.664 0.500
0.336 0.000 0.500
0.336 0.336 0.500
0.664 0.000 0.500
0.664 0.664 0.500

---

SrCd12Ag7, relaxed, DFT GGA-PBE; density of states at the Fermi level = 4.48 states/eV per cell; formation energy from the elements = 104 meV/atom; VASP energy = -0.11221 Ry/atom
1.0
-5.118 5.118 5.118
5.118 -5.118 5.118
5.118 5.118 -5.118
Sr Cd Ag
1 12 7
Direct
0.000 0.000 0.000
0.107 0.759 0.348
0.241 0.348 0.589
0.241 0.652 0.893
0.348 0.107 0.759
0.348 0.589 0.241
0.411 0.759 0.652
0.589 0.241 0.348
0.652 0.411 0.759
0.652 0.893 0.241
0.759 0.348 0.107
0.759 0.652 0.411
0.893 0.241 0.652
0.000 0.000 0.500
0.000 0.500 0.000
0.000 0.500 0.500
0.500 0.000 0.000
0.500 0.000 0.500
0.500 0.500 0.000
0.500 0.500 0.500

---

AsP2Rh, relaxed, DFT GGA-PBE; density of states at the Fermi level = 1.64 states/eV per cell; formation energy from the elements = -97 meV/atom; VASP energy = -0.42645 Ry/atom
1.0
4.174 0.000 0.000
0.000 2.337 3.360
0.000 -2.337 3.360
As P Rh
1 2 1
Direct
0.000 0.000 0.000
0.000 0.593 0.593
0.500 0.409 0.409
0.500 0.797 0.797